Density functional theory data (GGA-PBE) for a relaxed ErCd2 crystal.

Values from the calculation:
The calculation puts the total DFT energy (no corrections) at -2.36 eV/atom. The symmetry is No. 12. The value obtained for the volume is 24.062 A^3/atom.

a = 3.425 Å, b = 3.425 Å, c = 6.606 Å
α = 104.94°, β = 104.94°, γ = 89.98°
Fractional positions:
Er 0.000 0.000 0.000
Cd 0.327 0.327 0.653
Cd 0.673 0.673 0.347

Density functional theory data (GGA-PBE) for a relaxed PrAl2Ni crystal.

Values from the calculation:
The calculation puts the total DFT energy (no corrections) at -5.09 eV/atom. The symmetry is No. 11. The value obtained for the volume is 19.477 A^3/atom.

a = 4.081 Å, b = 6.938 Å, c = 5.863 Å
α = 90.00°, β = 110.19°, γ = 90.00°
Fractional positions:
Pr 0.056 0.250 0.108
Pr 0.944 0.750 0.892
Al 0.329 0.057 0.659
Al 0.329 0.443 0.659
Al 0.671 0.557 0.341
Al 0.671 0.943 0.341
Ni 0.219 0.750 0.437
Ni 0.781 0.250 0.563

Density functional theory data (GGA-PBE) for a relaxed Ac6S2IN3 crystal.

Values from the calculation:
The symmetry is No. 12. For the uncorrected formation energy, the calculation gives -16.24 eV/f.u. The value obtained for the volume is 25.775 A^3/atom.

a = 9.568 Å, b = 9.568 Å, c = 8.672 Å
α = 108.68°, β = 108.68°, γ = 24.35°
Fractional positions:
Ac 0.013 0.013 0.210
Ac 0.317 0.317 0.435
Ac 0.339 0.339 0.900
Ac 0.661 0.661 0.100
Ac 0.683 0.683 0.565
Ac 0.987 0.987 0.790
S 0.164 0.164 0.827
S 0.836 0.836 0.173
I 0.500 0.500 0.500
N 0.170 0.170 0.325
N 0.500 0.500 0.000
N 0.830 0.830 0.675

Density functional theory data (GGA-PBE) for a relaxed Tm2ThU crystal.

Values from the calculation:
The calculation puts the total DFT energy (no corrections) at -6.47 eV/atom. The symmetry is No. 166. The value obtained for the volume is 28.902 A^3/atom.

a = 12.243 Å, b = 12.243 Å, c = 12.243 Å
α = 15.60°, β = 15.60°, γ = 15.60°
Fractional positions:
Tm 0.088 0.088 0.088
Tm 0.912 0.912 0.912
Th 0.500 0.500 0.500
U 0.000 0.000 0.000

Density functional theory data (GGA-PBE) for a relaxed Tl2Cu2Br7 crystal.

Values from the calculation:
The symmetry is No. 12. For the uncorrected formation energy, the calculation gives -4.43 eV/f.u. The value obtained for the volume is 35.796 A^3/atom.

a = 7.805 Å, b = 7.805 Å, c = 6.834 Å
α = 97.38°, β = 97.38°, γ = 104.67°
Fractional positions:
Tl 0.195 0.805 0.000
Tl 0.805 0.195 0.000
Cu 0.269 0.269 0.591
Cu 0.731 0.731 0.409
Br 0.093 0.418 0.779
Br 0.116 0.116 0.266
Br 0.418 0.093 0.779
Br 0.500 0.500 0.500
Br 0.582 0.907 0.221
Br 0.884 0.884 0.734
Br 0.907 0.582 0.221

Density functional theory data (GGA-PBE) for a relaxed HoMgScOs crystal.

Values from the calculation:
The symmetry is No. 99. The polymorph energy (0 for the lowest one) comes out at 0 meV per atom. The value obtained for the volume is 21.937 A^3/atom.

a = 3.349 Å, b = 3.349 Å, c = 7.822 Å
α = 90.00°, β = 90.00°, γ = 90.00°
Fractional positions:
Ho 0.000 0.000 0.000
Mg 0.500 0.500 0.318
Sc 0.000 0.000 0.596
Os 0.500 0.500 0.781

Density functional theory data (GGA-PBE) for a relaxed YHf3In crystal.

Values from the calculation:
The symmetry is No. 221. The polymorph energy (0 for the lowest one) comes out at 501 meV per atom. The value obtained for the volume is 27.866 A^3/atom.

a = 5.184 Å, b = 5.184 Å, c = 5.184 Å
α = 90.00°, β = 90.00°, γ = 90.00°
Fractional positions:
Y 0.000 0.000 0.000
Hf 0.000 0.000 0.500
Hf 0.000 0.500 0.000
Hf 0.500 0.000 0.000
In 0.500 0.500 0.500

Density functional theory data (GGA-PBE) for a relaxed SrAlCd2Ga crystal.

Values from the calculation:
The calculation puts the total DFT energy (no corrections) at -2.33 eV/atom. The symmetry is No. 44. The value obtained for the volume is 24.186 A^3/atom.

a = 6.873 Å, b = 6.873 Å, c = 6.873 Å
α = 142.60°, β = 141.86°, γ = 54.48°
Fractional positions:
Sr 0.000 0.000 0.000
Al 0.266 0.766 0.500
Cd 0.615 0.615 0.000
Cd 0.765 0.265 0.500
Ga 0.394 0.394 0.000

Density functional theory data (GGA-PBE) for a relaxed RbVH2 crystal.

Values from the calculation:
The symmetry is No. 122. The polymorph energy (0 for the lowest one) comes out at 0 meV per atom. The value obtained for the volume is 17.508 A^3/atom.

a = 5.788 Å, b = 5.788 Å, c = 5.788 Å
α = 118.49°, β = 118.49°, γ = 92.63°
Fractional positions:
Rb 0.000 0.000 0.000
Rb 0.750 0.250 0.500
V 0.250 0.750 0.500
V 0.500 0.500 0.000
H 0.263 0.125 0.638
H 0.375 0.737 0.862
H 0.487 0.625 0.362
H 0.875 0.513 0.138

Density functional theory data (GGA-PBE) for a relaxed Nd4Sm2Er2Tm crystal.

Values from the calculation:
The calculation puts the total DFT energy (no corrections) at -4.66 eV/atom. The symmetry is No. 12. The value obtained for the volume is 33.259 A^3/atom.

a = 8.092 Å, b = 8.092 Å, c = 8.043 Å
α = 107.61°, β = 107.61°, γ = 36.85°
Fractional positions:
Nd 0.055 0.055 0.330
Nd 0.278 0.278 0.670
Nd 0.722 0.722 0.330
Nd 0.945 0.945 0.670
Sm 0.388 0.388 0.330
Sm 0.612 0.612 0.670
Er 0.167 0.167 0.000
Er 0.833 0.833 0.000
Tm 0.500 0.500 0.000

Density functional theory data (GGA-PBE) for a relaxed RbBiHO2 crystal.

Values from the calculation:
The calculation puts the total DFT energy (no corrections) at -3.51 eV/atom. The symmetry is No. 123. The value obtained for the volume is 15.750 A^3/atom.

a = 4.708 Å, b = 4.708 Å, c = 3.554 Å
α = 90.00°, β = 90.00°, γ = 90.00°
Fractional positions:
Rb 0.000 0.000 0.000
Bi 0.500 0.500 0.000
H 0.500 0.500 0.500
O 0.000 0.500 0.500
O 0.500 0.000 0.500

Density functional theory data (GGA-PBE) for a relaxed MgAlTlBi2 crystal.

Values from the calculation:
The calculation puts the total DFT energy (no corrections) at -2.34 eV/atom. The symmetry is No. 123. The value obtained for the volume is 36.665 A^3/atom.

a = 5.928 Å, b = 5.928 Å, c = 5.217 Å
α = 90.00°, β = 90.00°, γ = 90.00°
Fractional positions:
Mg 0.000 0.000 0.000
Al 0.500 0.500 0.000
Tl 0.000 0.000 0.500
Bi 0.000 0.500 0.500
Bi 0.500 0.000 0.500